# 1
{"formula": "CsSn3Te3", "functional": "GGA-PBE", "state": "optimized geometry", "dft_energy_ry_per_atom": -0.2471, "e_form_raw_ev_per_atom": -0.18, "relative_energy_mev_per_atom": 101, "n_ef_per_ev_cell": 11.62, "lattice": [[8.7624, 0.0000, 0.0000], [0.0000, 8.7624, 0.0000], [0.0000, 0.0000, 8.7624]], "species": ["Cs", "Cs", "Sn", "Sn", "Sn", "Sn", "Sn", "Sn", "Te", "Te", "Te", "Te", "Te", "Te"], "frac_coords": [[0.0000, 0.0000, 0.0000], [0.5000, 0.5000, 0.5000], [0.0000, 0.2500, 0.5000], [0.0000, 0.7500, 0.5000], [0.2500, 0.5000, 0.0000], [0.5000, 0.0000, 0.2500], [0.5000, 0.0000, 0.7500], [0.7500, 0.5000, 0.0000], [0.0000, 0.5000, 0.2500], [0.0000, 0.5000, 0.7500], [0.2500, 0.0000, 0.5000], [0.5000, 0.2500, 0.0000], [0.5000, 0.7500, 0.0000], [0.7500, 0.0000, 0.5000]]}


# 2
{"formula": "CsSnTe", "functional": "GGA-PBE", "state": "optimized geometry", "dft_energy_ry_per_atom": -0.2365, "e_form_raw_ev_per_atom": -0.55, "relative_energy_mev_per_atom": 0, "n_ef_per_ev_cell": 4.54, "lattice": [[19.6115, 0.0000, 0.0000], [0.0000, 5.0065, 0.0000], [-1.3216, 0.0000, 5.9019]], "species": ["Cs", "Cs", "Cs", "Cs", "Sn", "Sn", "Sn", "Sn", "Te", "Te", "Te", "Te"], "frac_coords": [[0.0896, 0.0000, 0.3232], [0.4104, 0.5000, 0.6768], [0.5896, 0.5000, 0.3232], [0.9104, 0.0000, 0.6768], [0.2225, 0.5000, 0.8865], [0.2775, 0.0000, 0.1135], [0.7225, 0.0000, 0.8865], [0.7775, 0.5000, 0.1135], [0.0791, 0.5000, 0.8227], [0.4209, 0.0000, 0.1773], [0.5791, 0.0000, 0.8227], [0.9209, 0.5000, 0.1773]]}


# 3
{"formula": "Cs2Sn2Te", "functional": "GGA-PBE", "state": "optimized geometry", "dft_energy_ry_per_atom": -0.2077, "e_form_raw_ev_per_atom": -0.26, "relative_energy_mev_per_atom": 0, "n_ef_per_ev_cell": 0.84, "lattice": [[8.4386, 0.0000, 0.0000], [0.0000, 8.4386, 0.0000], [0.0000, 0.0000, 6.0996]], "species": ["Cs", "Cs", "Cs", "Cs", "Sn", "Sn", "Sn", "Sn", "Te", "Te"], "frac_coords": [[0.1968, 0.3032, 0.0000], [0.3032, 0.8032, 0.0000], [0.6968, 0.1968, 0.0000], [0.8032, 0.6968, 0.0000], [0.1176, 0.6176, 0.5000], [0.3824, 0.1176, 0.5000], [0.6176, 0.8824, 0.5000], [0.8824, 0.3824, 0.5000], [0.0000, 0.0000, 0.5000], [0.5000, 0.5000, 0.5000]]}